## CaTeIrO6 (PBE)

Data for an optimized crystal structure of CaTeIrO6.

It has space group P-31c (No. 163), with a = 5.2991 Å, b = 5.2991 Å, c = 10.0488 Å, α = 90.00°, β = 90.00° and γ = 120.00°. The distinct sites, in fractional coordinates, are Ca at (0.0000, 0.0000, 0.0000), Te at (0.3333, 0.6667, 0.2500), Ir at (0.3333, 0.6667, 0.7500) and O at (0.0022, 0.3633, 0.1435).

The electronic total energy comes out at -6.310 eV per atom. The calculation puts the formation energy from raw total energies at -1448 meV per atom. The value obtained for the total magnetization is 1.06 μB/f.u.